(1)
## ScNbSi2 (PBE-GGA)

Data for an optimized crystal structure of ScNbSi2.

Summary:
offset from the most stable computed form: 472 meV per atom
ρ: 4.8 g/cm³
uncorrected formation energy: -0.25 eV per atom
N(E_F): 1.43 states/eV/atom

```
data_ScNbSi2
_chemical_formula_sum 'Sc4 Nb4 Si8'
_symmetry_space_group_name_H-M 'F m -3 m'
_symmetry_Int_Tables_number 225
_symmetry_space_group_name_Hall '-F 4 2 3'
_cell_length_a 6.440
_cell_length_b 6.440
_cell_length_c 6.440
_cell_angle_alpha 90.00
_cell_angle_beta 90.00
_cell_angle_gamma 90.00
loop_
_atom_site_label
_atom_site_fract_x
_atom_site_fract_y
_atom_site_fract_z
Sc1 0.000 0.000 0.000
Nb1 0.000 0.000 0.500
Si1 0.250 0.250 0.250
```


(2)
## CoTcSb6 (PBE-GGA)

Data for an optimized crystal structure of CoTcSb6.

Summary:
ρ: 7.3 g/cm³
uncorrected formation energy: -0.03 eV per atom
N(E_F): 1.09 states/eV/atom

```
data_CoTcSb6
_chemical_formula_sum 'Co4 Tc4 Sb24'
_symmetry_space_group_name_H-M 'C 1 2/m 1'
_symmetry_Int_Tables_number 12
_symmetry_space_group_name_Hall '-C 2y'
_cell_length_a 13.107
_cell_length_b 9.318
_cell_length_c 9.285
_cell_angle_alpha 90.00
_cell_angle_beta 134.67
_cell_angle_gamma 90.00
loop_
_atom_site_label
_atom_site_fract_x
_atom_site_fract_y
_atom_site_fract_z
Co1 0.250 0.250 0.000
Tc1 0.250 0.250 0.500
Sb1 0.007 0.158 0.841
Sb2 0.158 0.334 0.664
Sb3 0.160 0.500 0.316
Sb4 0.173 0.500 0.009
```


(3)
## Nd3Ag (PBE-GGA)

Data for an optimized crystal structure of Nd3Ag.

Summary:
offset from the most stable computed form: 104 meV per atom
ΔE_f: 0.017 eV/atom
ρ: 7.5 g/cm³
N(E_F): 1.32 states/eV/atom

```
data_Nd3Ag
_chemical_formula_sum 'Nd6 Ag2'
_symmetry_space_group_name_H-M 'I 4/m m m'
_symmetry_Int_Tables_number 139
_symmetry_space_group_name_Hall '-I 4 2'
_cell_length_a 4.789
_cell_length_b 4.789
_cell_length_c 10.396
_cell_angle_alpha 90.00
_cell_angle_beta 90.00
_cell_angle_gamma 90.00
loop_
_atom_site_label
_atom_site_fract_x
_atom_site_fract_y
_atom_site_fract_z
Nd1 0.000 0.000 0.000
Nd2 0.000 0.500 0.250
Ag1 0.000 0.000 0.500
```


(4)
## CeSmGdSc (PBE-GGA)

Data for an optimized crystal structure of CeSmGdSc.

Summary:
ΔE_f: 0.160 eV/atom
ρ: 6.7 g/cm³
N(E_F): 2.64 states/eV/atom

```
data_CeSmGdSc
_chemical_formula_sum 'Ce4 Sm4 Gd4 Sc4'
_symmetry_space_group_name_H-M 'F -4 3 m'
_symmetry_Int_Tables_number 216
_symmetry_space_group_name_Hall 'F -4 2 3'
_cell_length_a 7.866
_cell_length_b 7.866
_cell_length_c 7.866
_cell_angle_alpha 90.00
_cell_angle_beta 90.00
_cell_angle_gamma 90.00
loop_
_atom_site_label
_atom_site_fract_x
_atom_site_fract_y
_atom_site_fract_z
Ce1 0.000 0.000 0.000
Sm1 0.000 0.000 0.500
Gd1 0.250 0.250 0.750
Sc1 0.250 0.250 0.250
```


(5)
## Sm2Dy3Ho3 (PBE-GGA)

Data for an optimized crystal structure of Sm2Dy3Ho3.

Summary:
offset from the most stable computed form: 18 meV per atom
ΔE_f: 0.020 eV/atom
ρ: 8.4 g/cm³
N(E_F): 1.42 states/eV/atom

```
data_Sm2Dy3Ho3
_chemical_formula_sum 'Sm4 Dy6 Ho6'
_symmetry_space_group_name_H-M 'I m m m'
_symmetry_Int_Tables_number 71
_symmetry_space_group_name_Hall '-I 2 2'
_cell_length_a 5.031
_cell_length_b 5.032
_cell_length_c 20.088
_cell_angle_alpha 90.00
_cell_angle_beta 90.00
_cell_angle_gamma 90.00
loop_
_atom_site_label
_atom_site_fract_x
_atom_site_fract_y
_atom_site_fract_z
Sm1 0.000 0.000 0.250
Dy1 0.000 0.000 0.000
Dy2 0.000 0.500 0.124
Ho1 0.000 0.000 0.500
Ho2 0.000 0.500 0.376
```


(6)
## Sr2Ni4BiSb3 (PBE-GGA)

Data for an optimized crystal structure of Sr2Ni4BiSb3.

Summary:
ρ: 7.5 g/cm³
uncorrected formation energy: -0.48 eV per atom
N(E_F): 0.59 states/eV/atom

```
data_Sr2Ni4BiSb3
_chemical_formula_sum 'Sr2 Ni4 Bi1 Sb3'
_symmetry_space_group_name_H-M 'P -4 m 2'
_symmetry_Int_Tables_number 115
_symmetry_space_group_name_Hall 'P -4 -2'
_cell_length_a 4.583
_cell_length_b 4.583
_cell_length_c 10.309
_cell_angle_alpha 90.00
_cell_angle_beta 90.00
_cell_angle_gamma 90.00
loop_
_atom_site_label
_atom_site_fract_x
_atom_site_fract_y
_atom_site_fract_z
Sr1 0.000 0.500 0.236
Ni1 0.000 0.000 0.000
Ni2 0.000 0.500 0.631
Ni3 0.500 0.500 0.000
Bi1 0.000 0.000 0.500
Sb1 0.000 0.500 0.878
Sb2 0.500 0.500 0.500
```


(7)
## TmSc3Co2 (PBE-GGA)

Data for an optimized crystal structure of TmSc3Co2.

Summary:
offset from the most stable computed form: 0 meV per atom
ΔE_f: -0.212 eV/atom
ρ: 5.9 g/cm³
N(E_F): 0.85 states/eV/atom

```
data_TmSc3Co2
_chemical_formula_sum 'Tm4 Sc12 Co8'
_symmetry_space_group_name_H-M 'C 1 2/m 1'
_symmetry_Int_Tables_number 12
_symmetry_space_group_name_Hall '-C 2y'
_cell_length_a 16.735
_cell_length_b 3.802
_cell_length_c 8.717
_cell_angle_alpha 90.00
_cell_angle_beta 121.28
_cell_angle_gamma 90.00
loop_
_atom_site_label
_atom_site_fract_x
_atom_site_fract_y
_atom_site_fract_z
Tm1 0.127 0.000 0.127
Sc1 0.000 0.000 0.331
Sc2 0.168 0.500 0.482
Sc3 0.168 0.500 0.854
Co1 0.000 0.500 0.132
Co2 0.182 0.000 0.682
```


(8)
## TbSm2Al (PBE-GGA)

Data for an optimized crystal structure of TbSm2Al.

Summary:
offset from the most stable computed form: 32 meV per atom
ΔE_f: -0.157 eV/atom
ρ: 7.0 g/cm³
N(E_F): 0.93 states/eV/atom

```
data_TbSm2Al
_chemical_formula_sum 'Tb1 Sm2 Al1'
_symmetry_space_group_name_H-M 'P 4/m m m'
_symmetry_Int_Tables_number 123
_symmetry_space_group_name_Hall '-P 4 2'
_cell_length_a 3.545
_cell_length_b 3.545
_cell_length_c 9.248
_cell_angle_alpha 90.00
_cell_angle_beta 90.00
_cell_angle_gamma 90.00
loop_
_atom_site_label
_atom_site_fract_x
_atom_site_fract_y
_atom_site_fract_z
Tb1 0.000 0.000 0.000
Sm1 0.500 0.500 0.285
Al1 0.000 0.000 0.500
```